{"formula": "Rb6HBr3Cl2", "functional": "PBE", "state": "optimized geometry", "rho_g_cm3": 2.9, "m_tot_mub_per_fu": 0.07, "energy_ev_per_atom": -3.028, "cell": [[4.146, -7.179, 0.000], [4.146, 7.179, 0.000], [-2.768, 0.000, 7.847]], "species": ["Rb", "Rb", "Rb", "Rb", "Rb", "Rb", "H", "Br", "Br", "Br", "Cl", "Cl"], "frac_coords": [[0.078, 0.400, 0.233], [0.244, 0.244, 0.767], [0.400, 0.078, 0.233], [0.600, 0.922, 0.767], [0.756, 0.756, 0.233], [0.922, 0.600, 0.767], [0.000, 0.000, 0.000], [0.169, 0.831, 0.500], [0.500, 0.500, 0.500], [0.831, 0.169, 0.500], [0.334, 0.666, 0.000], [0.666, 0.334, 0.000]]}